This record from Alexandria via LeMat-Bulk describes crystalline TaBeCo4 at its relaxed geometry. The functional is PBE.

Lattice parameters (Å, degrees): 3.616 5.516 6.598 33.34 74.09 70.86
Atoms (fractional coordinates):
Co 0.328 0.345 0.000
Co 0.167 0.165 0.501
Co 0.833 0.835 0.499
Co 0.672 0.655 0.000
Be 0.000 0.000 0.000
Ta 0.500 0.500 0.500

Results
SG = No. 65
Energy above the lowest structure with this stoichiometry = 4 meV per atom
Crystal system = orthorhombic